i.
VASP calculation (GGA-PBE) on a relaxed Sm4YTl crystal.

magnetization: 0.000 μB/atom
crystal system: tetragonal
space group: No. 123

Cell lengths 4.1298, 4.1298, 11.2345 Å; angles 90.00, 90.00, 90.00 degrees
Last column: nearest neighbours and their distance in Å.
Positions (direct):
Sm1 0.5000 0.5000 0.1673  4 Y 3.47, 5 Sm 3.58-3.76, 1 Tl 3.74
Sm2 0.0000 0.0000 0.6476  5 Sm 3.32-3.58, 4 Tl 3.36
Sm3 0.0000 0.0000 0.3524  5 Sm 3.32-3.58, 4 Tl 3.36
Sm4 0.5000 0.5000 0.8327  4 Y 3.47, 5 Sm 3.58-3.76, 1 Tl 3.74
Y1 0.0000 0.0000 0.0000  8 Sm 3.47
Tl1 0.5000 0.5000 0.5000  10 Sm 3.36-3.74

=====

ii.
VASP calculation (GGA-PBE) on a relaxed Sm4YTl crystal.

magnetization: 0.000 μB/atom
crystal system: monoclinic
space group: No. 15

Cell lengths 6.5552, 9.1192, 8.4155 Å; angles 112.75, 100.00, 113.47 degrees
Last column: nearest neighbours and their distance in Å.
Positions (direct):
Sm1 0.0406 0.1617 0.7524  3 Sm 3.33-3.61, 2 Tl 3.38-3.41, 2 Y 3.52-3.58
Sm2 0.7561 0.7142 0.6203  2 Tl 3.27-3.28, 5 Sm 3.33-3.66
Sm3 0.2118 0.5907 0.7524  3 Sm 3.33-3.61, 2 Tl 3.38-3.41, 2 Y 3.52-3.58
Sm4 0.3641 0.9060 0.6203  2 Tl 3.27-3.28, 5 Sm 3.33-3.66
Sm5 0.6359 0.0940 0.3797  2 Tl 3.27-3.28, 5 Sm 3.33-3.66
Sm6 0.7882 0.4093 0.2476  3 Sm 3.33-3.61, 2 Tl 3.38-3.41, 2 Y 3.52-3.58
Sm7 0.2439 0.2858 0.3797  2 Tl 3.27-3.28, 5 Sm 3.33-3.66
Sm8 0.9594 0.8383 0.2476  3 Sm 3.33-3.61, 2 Tl 3.38-3.41, 2 Y 3.52-3.58
Y1 0.3375 0.5875 0.1750  8 Sm 3.52-3.69
Y2 0.6625 0.4125 0.8250  8 Sm 3.52-3.69
Tl1 0.2500 0.0000 0.0001  8 Sm 3.27-3.41, 2 Tl 3.28
Tl2 0.7500 0.0000 0.9999  8 Sm 3.27-3.41, 2 Tl 3.28

=====

The winner here is i, beating the second structure by 13 meV per atom.

=====

i.
VASP calculation (GGA-PBE) on a relaxed Sm6YTl crystal.

magnetization: 0.000 μB/atom
crystal system: triclinic
space group: No. 2

Cell lengths 8.7594, 9.4292, 6.4352 Å; angles 42.85, 47.05, 57.43 degrees
Last column: nearest neighbours and their distance in Å.
Positions (direct):
Sm1 0.9615 0.5408 0.7385  2 Sm 3.25-3.33, 1 Tl 3.27, 1 Y 3.52
Sm2 0.7595 0.9614 0.8201  2 Sm 3.24-3.33, 1 Tl 3.27, 1 Y 3.52
Sm3 0.5407 0.2407 0.2571  2 Sm 3.25-3.33, 1 Tl 3.27, 1 Y 3.53
Sm4 0.2405 0.0386 0.1799  2 Sm 3.24-3.33, 1 Tl 3.27, 1 Y 3.52
Sm5 0.0385 0.4592 0.2615  2 Sm 3.25-3.33, 1 Tl 3.27, 1 Y 3.52
Sm6 0.4593 0.7593 0.7429  2 Sm 3.25-3.33, 1 Tl 3.27, 1 Y 3.53
Y1 0.5000 0.5000 0.5000  12 Sm 3.52-3.72
Tl1 0.0000 0.0000 0.0000  6 Sm 3.27

=====

ii.
VASP calculation (GGA-PBE) on a relaxed Sm6YTl crystal.

magnetization: 0.000 μB/atom
crystal system: tetragonal
space group: No. 123

Cell lengths 4.9804, 4.9804, 10.2726 Å; angles 90.00, 90.00, 90.00 degrees
Last column: nearest neighbours and their distance in Å.
Positions (direct):
Sm1 0.5000 0.5000 0.0000  4 Tl 3.52, 8 Sm 3.53
Sm2 0.5000 0.5000 0.5000  4 Y 3.52, 8 Sm 3.62
Sm3 0.5000 0.0000 0.2439  8 Sm 3.52-3.62, 2 Tl 3.53, 2 Y 3.62
Sm4 0.5000 0.0000 0.7561  8 Sm 3.52-3.62, 2 Tl 3.53, 2 Y 3.62
Sm5 0.0000 0.5000 0.2439  8 Sm 3.52-3.62, 2 Tl 3.53, 2 Y 3.62
Sm6 0.0000 0.5000 0.7561  8 Sm 3.52-3.62, 2 Tl 3.53, 2 Y 3.62
Y1 0.0000 0.0000 0.5000  12 Sm 3.52-3.62
Tl1 0.0000 0.0000 0.0000  12 Sm 3.52-3.53

=====

The winner here is ii, beating the second structure by 91 meV per atom.

=====

i.
VASP calculation (GGA-PBE) on a relaxed SmY3Tl2 crystal.

magnetization: 0.005 μB/atom
crystal system: orthorhombic
space group: No. 72

Cell lengths 7.1343, 7.5347, 9.1740 Å; angles 114.25, 112.88, 90.00 degrees
Last column: nearest neighbours and their distance in Å.
Positions (direct):
Sm1 0.0000 0.5000 0.0000  2 Tl 3.10
Sm2 0.0000 0.0000 0.0000  2 Tl 3.10
Y1 0.5000 0.2500 0.0000  4 Tl 3.11
Y2 0.5000 0.7500 0.0000  4 Tl 3.11
Y3 0.7832 0.0332 0.5664  4 Tl 3.15-3.18
Y4 0.2168 0.4668 0.4336  4 Tl 3.15-3.18
Y5 0.2168 0.9668 0.4336  4 Tl 3.15-3.18
Y6 0.7832 0.5332 0.5664  4 Tl 3.15-3.18
Tl1 0.5418 0.3606 0.7212  1 Sm 3.10, 6 Y 3.11-3.18
Tl2 0.8206 0.1394 0.2788  1 Sm 3.10, 6 Y 3.11-3.18
Tl3 0.1794 0.8606 0.7212  1 Sm 3.10, 6 Y 3.11-3.18
Tl4 0.4582 0.6394 0.2788  1 Sm 3.10, 6 Y 3.11-3.18

=====

ii.
VASP calculation (GGA-PBE) on a relaxed SmY3Tl2 crystal.

magnetization: 0.000 μB/atom
crystal system: orthorhombic
space group: No. 26

Cell lengths 5.1240, 6.8676, 10.0522 Å; angles 90.00, 90.00, 90.00 degrees
Last column: nearest neighbours and their distance in Å.
Positions (direct):
Sm1 0.5000 0.5489 0.5441  5 Tl 3.25-3.54, 2 Y 3.52, 2 Sm 3.55
Sm2 0.5000 0.0489 0.4559  5 Tl 3.25-3.54, 2 Y 3.52, 2 Sm 3.55
Y1 0.0000 0.4535 0.9546  5 Tl 3.23-3.54, 4 Y 3.51-3.55
Y2 0.0000 0.9535 0.0454  5 Tl 3.23-3.54, 4 Y 3.51-3.55
Y3 0.5000 0.6700 0.1851  4 Tl 3.19-3.25, 2 Y 3.51
Y4 0.5000 0.1700 0.8149  4 Tl 3.19-3.25, 2 Y 3.51
Y5 0.0000 0.3286 0.3097  4 Tl 3.21-3.27, 2 Sm 3.52
Y6 0.0000 0.8286 0.6903  4 Tl 3.21-3.27, 2 Sm 3.52
Tl1 0.5000 0.7096 0.8684  8 Y 3.19-3.54, 1 Sm 3.44
Tl2 0.5000 0.2096 0.1316  8 Y 3.19-3.54, 1 Sm 3.44
Tl3 0.0000 0.2894 0.6342  5 Y 3.21-3.41, 4 Sm 3.25-3.54
Tl4 0.0000 0.7894 0.3658  5 Y 3.21-3.41, 4 Sm 3.25-3.54

=====

The winner here is ii, beating the second structure by 269 meV per atom.

=====

i.
VASP calculation (GGA-PBE) on a relaxed Sm6YTl5 crystal.

magnetization: 0.000 μB/atom
crystal system: orthorhombic
space group: No. 71

Cell lengths 5.0707, 9.0267, 9.2745 Å; angles 119.12, 105.86, 90.00 degrees
Last column: nearest neighbours and their distance in Å.
Positions (direct):
Y1 0.0000 0.0000 0.0000  4 Tl 3.41, 8 Sm 3.52-3.55
Tl1 0.6483 0.1483 0.2966  8 Sm 3.34-3.51, 2 Y 3.41, 2 Tl 3.71
Tl2 0.3239 0.3239 0.6478  8 Sm 3.32-3.41, 4 Tl 3.71
Tl3 0.0000 0.5000 0.0000  8 Sm 3.27-3.40
Tl4 0.6761 0.6761 0.3522  8 Sm 3.32-3.41, 4 Tl 3.71
Tl5 0.3517 0.8517 0.7034  8 Sm 3.34-3.51, 2 Y 3.41, 2 Tl 3.71
Sm1 0.8288 0.5660 0.6576  7 Tl 3.32-3.51, 4 Sm 3.52-3.66, 1 Y 3.55
Sm2 0.8288 0.0915 0.6576  7 Tl 3.32-3.51, 4 Sm 3.52-3.66, 1 Y 3.55
Sm3 0.5000 0.7293 0.0000  6 Tl 3.27-3.41, 2 Y 3.52, 4 Sm 3.66
Sm4 0.5000 0.2707 0.0000  6 Tl 3.27-3.41, 2 Y 3.52, 4 Sm 3.66
Sm5 0.1712 0.9085 0.3424  7 Tl 3.32-3.51, 4 Sm 3.52-3.66, 1 Y 3.55
Sm6 0.1712 0.4340 0.3424  7 Tl 3.32-3.51, 4 Sm 3.52-3.66, 1 Y 3.55

=====

ii.
VASP calculation (GGA-PBE) on a relaxed Sm6YTl5 crystal.

magnetization: 0.000 μB/atom
crystal system: monoclinic
space group: No. 12

Cell lengths 6.3395, 10.4744, 7.7895 Å; angles 47.75, 81.17, 76.80 degrees
Last column: nearest neighbours and their distance in Å.
Positions (direct):
Sm1 0.7325 0.0945 0.3628  5 Tl 3.21-3.57, 1 Sm 3.50
Sm2 0.2675 0.5427 0.3628  5 Tl 3.21-3.57, 1 Sm 3.50
Sm3 0.2182 0.2807 0.0000  5 Tl 3.22-3.44, 1 Y 3.52
Sm4 0.7818 0.7193 0.0000  5 Tl 3.22-3.44, 1 Y 3.52
Sm5 0.7325 0.4573 0.6372  5 Tl 3.21-3.57, 1 Sm 3.50
Sm6 0.2675 0.9055 0.6372  5 Tl 3.21-3.57, 1 Sm 3.50
Y1 0.0000 0.0000 0.0000  6 Tl 3.39-3.53, 6 Sm 3.52-3.66
Tl1 0.5000 0.1351 0.7299  1 Tl 3.12, 4 Sm 3.25-3.44
Tl2 0.0000 0.2938 0.4125  6 Sm 3.21-3.38, 1 Y 3.39
Tl3 0.5000 0.5000 0.0000  6 Sm 3.22-3.24
Tl4 0.0000 0.7062 0.5875  6 Sm 3.21-3.38, 1 Y 3.39
Tl5 0.5000 0.8649 0.2701  1 Tl 3.12, 4 Sm 3.25-3.44

=====

The winner here is i, beating the second structure by 103 meV per atom.

=====

i.
VASP calculation (GGA-PBE) on a relaxed SmY6Tl2 crystal.

magnetization: 0.000 μB/atom
crystal system: monoclinic
space group: No. 12

Cell lengths 3.7666, 6.6906, 11.9737 Å; angles 74.74, 80.95, 73.65 degrees
Last column: nearest neighbours and their distance in Å.
Positions (direct):
Sm1 0.0000 0.0000 0.0000  4 Tl 3.23
Y1 0.6869 0.5010 0.1252  2 Tl 3.30, 5 Y 3.51-3.62
Y2 0.3131 0.4990 0.8748  2 Tl 3.30, 5 Y 3.51-3.62
Y3 0.3083 0.7980 0.5854  2 Tl 3.33, 8 Y 3.45-3.62
Y4 0.9858 0.6826 0.3458  2 Tl 3.24, 7 Y 3.54-3.62
Y5 0.0142 0.3174 0.6542  2 Tl 3.24, 7 Y 3.54-3.62
Y6 0.6917 0.2020 0.4146  2 Tl 3.33, 8 Y 3.45-3.62
Tl1 0.3596 0.0713 0.2096  2 Sm 3.23, 6 Y 3.24-3.33
Tl2 0.6404 0.9287 0.7904  2 Sm 3.23, 6 Y 3.24-3.33

=====

ii.
VASP calculation (GGA-PBE) on a relaxed SmY6Tl2 crystal.

magnetization: 0.000 μB/atom
crystal system: monoclinic
space group: No. 15

Cell lengths 6.0594, 9.7299, 9.7299 Å; angles 72.95, 84.39, 84.39 degrees
Last column: nearest neighbours and their distance in Å.
Positions (direct):
Sm1 0.2500 0.1064 0.8936  10 Y 3.45-3.68
Sm2 0.7500 0.8936 0.1064  10 Y 3.45-3.68
Y1 0.4849 0.6757 0.4392  3 Tl 3.18-3.36, 5 Y 3.27-3.55
Y2 0.0151 0.5608 0.3243  3 Tl 3.18-3.36, 5 Y 3.27-3.55
Y3 0.5151 0.3243 0.5608  3 Tl 3.18-3.36, 5 Y 3.27-3.55
Y4 0.9849 0.4392 0.6757  3 Tl 3.18-3.36, 5 Y 3.27-3.55
Y5 0.6664 0.1043 0.3556  3 Tl 3.28-3.41, 5 Y 3.34-3.54, 1 Sm 3.58
Y6 0.8336 0.6444 0.8957  3 Tl 3.28-3.41, 5 Y 3.34-3.54, 1 Sm 3.58
Y7 0.3336 0.8957 0.6444  3 Tl 3.28-3.41, 5 Y 3.34-3.54, 1 Sm 3.58
Y8 0.1664 0.3556 0.1043  3 Tl 3.28-3.41, 5 Y 3.34-3.54, 1 Sm 3.58
Y9 0.3054 0.7349 0.0218  2 Tl 3.18-3.43, 4 Y 3.36-3.54, 2 Sm 3.45-3.51
Y10 0.1946 0.9782 0.2651  2 Tl 3.18-3.43, 4 Y 3.36-3.54, 2 Sm 3.45-3.51
Y11 0.6946 0.2651 0.9782  2 Tl 3.18-3.43, 4 Y 3.36-3.54, 2 Sm 3.45-3.51
Y12 0.8054 0.0218 0.7349  2 Tl 3.18-3.43, 4 Y 3.36-3.54, 2 Sm 3.45-3.51
Tl1 0.4090 0.5314 0.7857  8 Y 3.18-3.43
Tl2 0.0910 0.2143 0.4686  8 Y 3.18-3.43
Tl3 0.5910 0.4686 0.2143  8 Y 3.18-3.43
Tl4 0.9090 0.7857 0.5314  8 Y 3.18-3.43

=====

The winner here is i, beating the second structure by 52 meV per atom.

=====

i.
VASP calculation (GGA-PBE) on a relaxed Sm2YTl4 crystal.

magnetization: 0.000 μB/atom
crystal system: tetragonal
space group: No. 139

Cell lengths 5.3189, 5.3189, 8.4250 Å; angles 108.40, 108.40, 90.00 degrees
Last column: nearest neighbours and their distance in Å.
Positions (direct):
Sm1 0.7484 0.7484 0.4967  8 Tl 3.34-3.37
Sm2 0.2516 0.2516 0.5033  8 Tl 3.34-3.37
Y1 0.0000 0.0000 0.0000  8 Tl 3.17
Tl1 0.3861 0.8861 0.7723  2 Y 3.17, 4 Sm 3.34-3.37, 1 Tl 3.43
Tl2 0.8861 0.3861 0.7723  2 Y 3.17, 4 Sm 3.34-3.37, 1 Tl 3.43
Tl3 0.6139 0.1139 0.2277  2 Y 3.17, 4 Sm 3.34-3.37, 1 Tl 3.43
Tl4 0.1139 0.6139 0.2277  2 Y 3.17, 4 Sm 3.34-3.37, 1 Tl 3.43

=====

ii.
VASP calculation (GGA-PBE) on a relaxed Sm2YTl4 crystal.

magnetization: 0.000 μB/atom
crystal system: tetragonal
space group: No. 139

Cell lengths 5.7936, 5.7936, 8.8759 Å; angles 109.05, 109.05, 90.00 degrees
Last column: nearest neighbours and their distance in Å.
Positions (direct):
Sm1 0.6013 0.6013 0.2027  5 Tl 3.19-3.31, 1 Sm 3.19
Sm2 0.3987 0.3987 0.7973  5 Tl 3.19-3.31, 1 Sm 3.19
Y1 0.0000 0.0000 0.0000  6 Tl 2.90-3.09
Tl1 0.8039 0.8039 0.6079  1 Y 3.09, 1 Sm 3.19
Tl2 0.1961 0.1961 0.3921  1 Y 3.09, 1 Sm 3.19
Tl3 0.0000 0.5000 0.0000  2 Y 2.90
Tl4 0.5000 0.0000 0.0000  2 Y 2.90

=====

The winner here is i, beating the second structure by 386 meV per atom.

=====

i.
VASP calculation (GGA-PBE) on a relaxed Sm4YTl2 crystal.

magnetization: 0.000 μB/atom
crystal system: trigonal
space group: No. 166

Cell lengths 5.5735, 5.5735, 9.4843 Å; angles 72.91, 72.91, 60.00 degrees
Last column: nearest neighbours and their distance in Å.
Positions (direct):
Sm1 0.7340 0.7340 0.7980  4 Tl 3.16-3.25
Sm2 0.8694 0.8694 0.3918  3 Y 3.36, 7 Sm 3.62-3.75
Sm3 0.2660 0.2660 0.2020  4 Tl 3.16-3.25
Sm4 0.1306 0.1306 0.6082  3 Y 3.36, 7 Sm 3.62-3.75
Y1 0.5000 0.5000 0.5000  2 Tl 3.10, 6 Sm 3.36
Tl1 0.6158 0.6158 0.1525  1 Y 3.10, 4 Sm 3.16-3.25
Tl2 0.3842 0.3842 0.8475  1 Y 3.10, 4 Sm 3.16-3.25

=====

ii.
VASP calculation (GGA-PBE) on a relaxed Sm4YTl2 crystal.

magnetization: 0.086 μB/atom
crystal system: monoclinic
space group: No. 12

Cell lengths 6.3209, 6.3209, 6.2451 Å; angles 93.83, 93.83, 115.46 degrees
Last column: nearest neighbours and their distance in Å.
Positions (direct):
Sm1 0.7881 0.2119 0.5000  6 Sm 3.38-3.75, 2 Tl 3.48
Sm2 0.2119 0.7881 0.5000  6 Sm 3.38-3.75, 2 Tl 3.48
Sm3 0.5000 0.0000 0.0000  2 Y 3.16, 4 Sm 3.37-3.38, 2 Tl 3.43
Sm4 0.0000 0.5000 0.0000  2 Y 3.16, 4 Sm 3.37-3.38, 2 Tl 3.43
Y1 0.0000 0.0000 0.0000  4 Sm 3.16, 2 Tl 3.48
Tl1 0.5763 0.5763 0.2656  2 Tl 3.22-3.35, 4 Sm 3.43-3.48, 1 Y 3.48
Tl2 0.4237 0.4237 0.7344  2 Tl 3.22-3.35, 4 Sm 3.43-3.48, 1 Y 3.48

=====

The winner here is i, beating the second structure by 46 meV per atom.

=====

i.
VASP calculation (GGA-PBE) on a relaxed Sm5Y4Tl crystal.

magnetization: 0.000 μB/atom
crystal system: tetragonal
space group: No. 123

Cell lengths 3.6199, 3.6199, 24.7139 Å; angles 90.00, 90.00, 90.00 degrees
Last column: nearest neighbours and their distance in Å.
Positions (direct):
Sm1 0.5000 0.5000 0.0881  4 Tl 3.36, 4 Sm 3.62, 4 Y 3.63
Sm2 0.5000 0.5000 0.2949  8 Y 3.60-3.61, 4 Sm 3.62
Sm3 0.5000 0.5000 0.5000  8 Y 3.60, 4 Sm 3.62
Sm4 0.5000 0.5000 0.7051  8 Y 3.60-3.61, 4 Sm 3.62
Sm5 0.5000 0.5000 0.9119  4 Tl 3.36, 4 Sm 3.62, 4 Y 3.63
Y1 0.0000 0.0000 0.1922  8 Sm 3.61-3.63, 4 Y 3.62
Y2 0.0000 0.0000 0.3976  8 Sm 3.60, 4 Y 3.62
Y3 0.0000 0.0000 0.6024  8 Sm 3.60, 4 Y 3.62
Y4 0.0000 0.0000 0.8078  8 Sm 3.61-3.63, 4 Y 3.62
Tl1 0.0000 0.0000 0.0000  8 Sm 3.36, 4 Tl 3.62

=====

ii.
VASP calculation (GGA-PBE) on a relaxed Sm5Y4Tl crystal.

magnetization: 0.000 μB/atom
crystal system: tetragonal
space group: No. 107

Cell lengths 5.9386, 8.1144, 8.1144 Å; angles 82.30, 68.54, 68.54 degrees
Last column: nearest neighbours and their distance in Å.
Positions (direct):
Sm1 0.7650 0.3728 0.0000  1 Tl 3.14, 1 Sm 3.29, 2 Y 3.35
Sm2 0.1378 0.0000 0.6272  1 Tl 3.14, 1 Sm 3.29, 2 Y 3.35
Sm3 0.7650 0.0000 0.3728  1 Tl 3.14, 1 Sm 3.29, 2 Y 3.35
Sm4 0.1378 0.6272 0.0000  1 Tl 3.14, 1 Sm 3.29, 2 Y 3.35
Sm5 0.6658 0.0000 0.0000  2 Tl 2.84-3.09
Y1 0.4630 0.3175 0.6825  3 Sm 3.35-3.60
Y2 0.7805 0.6825 0.6825  3 Sm 3.35-3.60
Y3 0.1455 0.3175 0.3175  3 Sm 3.35-3.60
Y4 0.4630 0.6825 0.3175  3 Sm 3.35-3.60
Tl1 0.1868 0.0000 0.0000  6 Sm 2.84-3.14

=====

The winner here is i, beating the second structure by 189 meV per atom.